Entry from Alexandria via LeMat-Bulk: DyNpP2Ir5 after structural relaxation (PBE).

```
DyNpP2Ir5
1.0
4.007 0.000 0.000
0.000 4.007 0.000
0.000 0.000 11.069
Dy Np P Ir
1 1 2 5
Direct
0.000 0.000 0.000
0.000 0.000 0.500
0.500 0.500 0.292
0.500 0.500 0.708
0.000 0.500 0.196
0.000 0.500 0.804
0.500 0.000 0.196
0.500 0.000 0.804
0.500 0.500 0.500
```

Results
space-group type: P4/mmm (123)
total DFT energy (no corrections): -8.541 eV/atom
calculated volume: 178 Å³/cell
energy of formation: -0.467 eV/atom